[1]
Computed, not measured: an optimized crystal structure of TeOsRh at the GGA-PBE level of DFT. Values from VASP.

Properties
The value obtained for the total energy is -19.94 eV per cell.

```
&SYSTEM
  ibrav = 0, nat = 3, ntyp = 3
/
ATOMIC_SPECIES
Te 127.60 Te.upf
Os 190.23 Os.upf
Rh 102.91 Rh.upf
CELL_PARAMETERS angstrom
0.4372 2.1819 5.5745
-3.6663 1.3644 4.5522
1.8222 -3.7747 -4.2962
ATOMIC_POSITIONS crystal
Te 0.6574 0.6574 0.0000
Os 0.9961 0.9961 0.0000
Rh 0.3465 0.3465 0.0000
```



[2]
Computed, not measured: an optimized crystal structure of Ni2OsBr at the GGA-PBE level of DFT. Values from VASP.

Properties
The value obtained for the total energy is -22.24 eV per cell.

```
&SYSTEM
  ibrav = 0, nat = 4, ntyp = 3
/
ATOMIC_SPECIES
Br 79.90 Br.upf
Ni 58.69 Ni.upf
Os 190.23 Os.upf
CELL_PARAMETERS angstrom
-2.7748 0.7149 0.0234
-1.3500 0.4177 2.4928
0.6362 8.1503 0.6139
ATOMIC_POSITIONS crystal
Br 0.2500 0.2500 0.2500
Ni 0.0035 0.0035 0.9924
Ni 0.4965 0.4965 0.5076
Os 0.7500 0.7500 0.7500
```



[3]
Computed, not measured: an optimized crystal structure of CePr2Zn at the GGA-PBE level of DFT. Values from VASP.

Properties
Its formation energy is 175 meV/atom.

```
&SYSTEM
  ibrav = 0, nat = 4, ntyp = 3
/
ATOMIC_SPECIES
Pr 140.91 Pr.upf
Zn 65.41 Zn.upf
Ce 140.12 Ce.upf
CELL_PARAMETERS angstrom
3.4586 0.0000 0.0000
1.7293 2.9952 0.0000
1.7293 0.9984 11.6137
ATOMIC_POSITIONS crystal
Pr 0.0976 0.0976 0.7070
Pr 0.9024 0.9024 0.2930
Zn 0.5000 0.5000 0.5000
Ce 0.0000 0.0000 0.0000
```



[4]
Computed, not measured: an optimized crystal structure of CaCe5P6 at the GGA-PBE level of DFT. Values from VASP.

Properties
Its formation energy is -1432 meV/atom.

```
&SYSTEM
  ibrav = 0, nat = 12, ntyp = 3
/
ATOMIC_SPECIES
P 30.97 P.upf
Ca 40.08 Ca.upf
Ce 140.12 Ce.upf
CELL_PARAMETERS angstrom
7.0227 0.1699 1.0661
1.7241 5.9561 3.4721
0.1176 0.0644 7.1039
ATOMIC_POSITIONS crystal
P 0.7470 0.0845 0.3394
P 0.2530 0.5761 0.3394
P 0.2532 0.2552 0.0000
P 0.7468 0.7448 0.0000
P 0.7470 0.4239 0.6606
P 0.2530 0.9155 0.6606
Ca 0.0000 0.0000 0.0000
Ce 0.5000 0.1653 0.6695
Ce 0.0000 0.3329 0.3342
Ce 0.5000 0.5000 0.0000
Ce 0.0000 0.6671 0.6658
Ce 0.5000 0.8347 0.3305
```



[5]
Computed, not measured: an optimized crystal structure of Y3TmRh2 at the GGA-PBE level of DFT. Values from VASP.

Properties
Its formation energy is -565 meV/atom.

```
&SYSTEM
  ibrav = 0, nat = 12, ntyp = 3
/
ATOMIC_SPECIES
Y 88.91 Y.upf
Tm 168.93 Tm.upf
Rh 102.91 Rh.upf
CELL_PARAMETERS angstrom
-5.0535 3.4850 -2.6480
-4.2903 -2.2754 5.1931
6.3911 4.7500 2.4940
ATOMIC_POSITIONS crystal
Y 0.5000 0.2500 0.0000
Y 0.5000 0.7500 0.0000
Y 0.7692 0.0192 0.5383
Y 0.2308 0.4808 0.4617
Y 0.2308 0.9808 0.4617
Y 0.7692 0.5192 0.5383
Tm 0.0000 0.5000 0.0000
Tm 0.0000 0.0000 0.0000
Rh 0.5774 0.3631 0.7262
Rh 0.8512 0.1369 0.2738
Rh 0.1488 0.8631 0.7262
Rh 0.4226 0.6369 0.2738
```



[6]
Computed, not measured: an optimized crystal structure of Cs2HgI4 at the GGA-PBE level of DFT. Values from VASP.

Properties
The value obtained for the total energy is -31.09 eV per cell.

```
&SYSTEM
  ibrav = 0, nat = 14, ntyp = 3
/
ATOMIC_SPECIES
Cs 132.91 Cs.upf
Hg 200.59 Hg.upf
I 126.90 I.upf
CELL_PARAMETERS angstrom
-8.4010 -0.9853 -1.4630
-1.0066 -3.0785 7.8535
-2.3226 7.7470 8.1197
ATOMIC_POSITIONS crystal
Cs 0.7222 0.8003 0.9286
Cs 0.2237 0.6659 0.5507
Cs 0.2222 0.1997 0.0714
Cs 0.7237 0.3341 0.4493
Hg 0.7477 0.9171 0.2948
Hg 0.2477 0.0829 0.7052
I 0.4959 0.2564 0.7719
I 0.7633 0.2821 0.1303
I 0.2687 0.1766 0.4351
I 0.9765 0.2325 0.7623
I 0.2633 0.7179 0.8697
I 0.9959 0.7436 0.2281
I 0.7687 0.8234 0.5649
I 0.4765 0.7675 0.2377
```



[7]
Computed, not measured: an optimized crystal structure of MoPbAu2 at the GGA-PBE level of DFT. Values from VASP.

Properties
Its formation energy is 380 meV/atom.

```
&SYSTEM
  ibrav = 0, nat = 4, ntyp = 3
/
ATOMIC_SPECIES
Au 196.97 Au.upf
Mo 95.94 Mo.upf
Pb 207.20 Pb.upf
CELL_PARAMETERS angstrom
2.9728 0.0280 0.0000
-0.0221 2.9728 0.0000
0.0000 0.0000 9.1103
ATOMIC_POSITIONS crystal
Au 0.0000 0.0000 0.0359
Au 0.5000 0.5000 0.2637
Mo 0.0000 0.0000 0.4708
Pb 0.5000 0.5000 0.7296
```



[8]
Computed, not measured: an optimized crystal structure of ZrTcHg2 at the GGA-PBE level of DFT. Values from VASP.

Properties
Its formation energy is 283 meV/atom.

```
&SYSTEM
  ibrav = 0, nat = 4, ntyp = 3
/
ATOMIC_SPECIES
Hg 200.59 Hg.upf
Tc 98.00 Tc.upf
Zr 91.22 Zr.upf
CELL_PARAMETERS angstrom
3.6561 0.0000 0.0000
0.0000 3.6561 0.0000
0.0000 0.0000 5.8441
ATOMIC_POSITIONS crystal
Hg 0.0000 0.0000 0.0100
Hg 0.0000 0.0000 0.4900
Tc 0.5000 0.5000 0.2500
Zr 0.5000 0.5000 0.7500
```